Entry 1:
A relaxed structure of La3PmTl3. Source: Alexandria, functional PBE.

The space group is C2/m (No. 12) and the conventional cell measures 8.311, 11.132 and 10.141 Å, with angles of 90.00, 91.01 and 90.00 degrees. The distinct sites, in fractional coordinates, are La at (0.000, 0.176, 0.000), La at (0.000, 0.234, 0.500), La at (0.076, 0.500, 0.814), Pm at (0.217, 0.500, 0.455), Tl at (0.036, 0.000, 0.268) and Tl at (0.236, 0.282, 0.238).

Its energy relative to the lowest polymorph listed for this composition is 0.569 eV per formula unit. The value obtained for the magnetization is 0.00 μB/f.u. The formation energy comes out at -236 meV per atom. The crystal system is monoclinic.

***

Entry 2:
A relaxed structure of La12PmTl3. Source: Alexandria, functional PBE.

The space group is P4/mmm (No. 123) and the conventional cell measures 5.107, 5.107 and 20.671 Å, with angles of 90.00, 90.00 and 90.00 degrees. The distinct sites, in fractional coordinates, are La at (0.000, 0.000, 0.000), La at (0.000, 0.000, 0.245), La at (0.000, 0.000, 0.500), La at (0.000, 0.500, 0.123), La at (0.000, 0.500, 0.370), Pm at (0.500, 0.500, 0.500), Tl at (0.500, 0.500, 0.000) and Tl at (0.500, 0.500, 0.245).

The value obtained for the magnetization is 0.00 μB/f.u. The formation energy comes out at -172 meV per atom. The crystal system is tetragonal.

***

Entry 3:
A relaxed structure of La5Pm2Tl4. Source: Alexandria, functional PBE.

The space group is Immm (No. 71) and the conventional cell measures 5.802, 9.537 and 13.487 Å, with angles of 90.00, 90.00 and 90.00 degrees. The distinct sites, in fractional coordinates, are La at (0.000, 0.000, 0.000), La at (0.000, 0.176, 0.251), Pm at (0.000, 0.500, 0.346), Tl at (0.000, 0.224, 0.500) and Tl at (0.000, 0.500, 0.113).

Its energy relative to the lowest polymorph listed for this composition is 3.157 eV per formula unit. The value obtained for the magnetization is 0.00 μB/f.u. The formation energy comes out at 40 meV per atom. The crystal system is orthorhombic.

***

Entry 4:
A relaxed structure of La5PmTl6. Source: Alexandria, functional PBE.

The space group is P-1 (No. 2) and the conventional cell measures 5.614, 7.936 and 9.690 Å, with angles of 114.09, 106.31 and 90.04 degrees. The distinct sites, in fractional coordinates, are La at (0.000, 0.000, 0.000), La at (0.328, 0.328, 0.656), La at (0.336, 0.836, 0.673), Pm at (0.000, 0.500, 0.000), Tl at (0.164, 0.420, 0.328), Tl at (0.164, 0.908, 0.328) and Tl at (0.499, 0.262, 0.000).

The value obtained for the magnetization is 0.00 μB/f.u. The formation energy comes out at -416 meV per atom. The crystal system is triclinic.

***

Entry 5:
A relaxed structure of LaPm2Tl2. Source: Alexandria, functional PBE.

The space group is Cmcm (No. 63) and the conventional cell measures 4.368, 27.099 and 5.243 Å, with angles of 90.00, 90.00 and 90.00 degrees. The distinct sites, in fractional coordinates, are La at (0.000, 0.144, 0.250), Pm at (0.000, 0.050, 0.750), Pm at (0.000, 0.237, 0.750), Tl at (0.000, 0.351, 0.250) and Tl at (0.000, 0.456, 0.750).

The value obtained for the magnetization is 0.00 μB/f.u. The formation energy comes out at -308 meV per atom. The crystal system is orthorhombic.

***

Entry 6:
A relaxed structure of La2Pm4Tl. Source: Alexandria, functional PBE.

The space group is P2_1/m (No. 11) and the conventional cell measures 5.899, 6.822 and 11.925 Å, with angles of 90.00, 103.36 and 90.00 degrees. The distinct sites, in fractional coordinates, are La at (0.013, 0.250, 0.476), La at (0.350, 0.750, 0.075), Pm at (0.148, 0.006, 0.782), Pm at (0.206, 0.250, 0.063), Pm at (0.417, 0.750, 0.378) and Tl at (0.442, 0.250, 0.333).

Its energy relative to the lowest polymorph listed for this composition is 0.000 eV per formula unit. The value obtained for the magnetization is 0.00 μB/f.u. The formation energy comes out at -36 meV per atom. The crystal system is monoclinic.

***

Entry 7:
A relaxed structure of La8PmTl2. Source: Alexandria, functional PBE.

The space group is C2/m (No. 12) and the conventional cell measures 9.102, 15.388 and 6.117 Å, with angles of 90.00, 114.76 and 90.00 degrees. The distinct sites, in fractional coordinates, are La at (0.000, 0.225, 0.000), La at (0.102, 0.500, 0.803), La at (0.196, 0.108, 0.596), Pm at (0.000, 0.000, 0.000) and Tl at (0.000, 0.305, 0.500).

Its energy relative to the lowest polymorph listed for this composition is 0.319 eV per formula unit. The value obtained for the magnetization is 0.00 μB/f.u. The formation energy comes out at -71 meV per atom. The crystal system is monoclinic.

***

Entry 8:
A relaxed structure of La4Pm3Tl4. Source: Alexandria, functional PBE.

The space group is Immm (No. 71) and the conventional cell measures 3.761, 9.601 and 20.008 Å, with angles of 90.00, 90.00 and 90.00 degrees. The distinct sites, in fractional coordinates, are La at (0.000, 0.169, 0.163), Pm at (0.000, 0.000, 0.407), Pm at (0.000, 0.500, 0.500), Tl at (0.000, 0.279, 0.000) and Tl at (0.000, 0.500, 0.222).

The value obtained for the magnetization is 0.00 μB/f.u. The formation energy comes out at -285 meV per atom. The crystal system is orthorhombic.

***

Entry 9:
A relaxed structure of La4Pm7Tl. Source: Alexandria, functional PBE.

The space group is C2/m (No. 12) and the conventional cell measures 16.528, 6.103 and 9.530 Å, with angles of 90.00, 116.68 and 90.00 degrees. The distinct sites, in fractional coordinates, are La at (0.095, 0.000, 0.485), La at (0.229, 0.000, 0.273), Pm at (0.000, 0.000, 0.000), Pm at (0.065, 0.500, 0.724), Pm at (0.160, 0.500, 0.337), Pm at (0.219, 0.000, 0.897) and Tl at (0.000, 0.500, 0.000).

The value obtained for the magnetization is 0.00 μB/f.u. The formation energy comes out at 119 meV per atom. The crystal system is monoclinic.

***

Entry 10:
A relaxed structure of LaPm2Tl. Source: Alexandria, functional PBE.

The space group is P4/mmm (No. 123) and the conventional cell measures 5.033, 5.033 and 4.925 Å, with angles of 90.00, 90.00 and 90.00 degrees. The distinct sites, in fractional coordinates, are La at (0.000, 0.000, 0.000), Pm at (0.000, 0.500, 0.500) and Tl at (0.500, 0.500, 0.000).

Its energy relative to the lowest polymorph listed for this composition is 0.000 eV per formula unit. The value obtained for the magnetization is 0.00 μB/f.u. The formation energy comes out at -211 meV per atom. The crystal system is tetragonal.

***

Entry 11:
A relaxed structure of La2PmTl4. Source: Alexandria, functional PBE.

The space group is I4/mmm (No. 139) and the conventional cell measures 5.416, 5.416 and 15.585 Å, with angles of 90.00, 90.00 and 90.00 degrees. The distinct sites, in fractional coordinates, are La at (0.000, 0.000, 0.245), Pm at (0.000, 0.000, 0.500) and Tl at (0.000, 0.500, 0.111).

The value obtained for the magnetization is 0.00 μB/f.u. The formation energy comes out at -264 meV per atom. The crystal system is tetragonal.

***

Entry 12:
A relaxed structure of LaPmTl2. Source: Alexandria, functional PBE.

The space group is P4/mmm (No. 123) and the conventional cell measures 3.929, 3.929 and 7.869 Å, with angles of 90.00, 90.00 and 90.00 degrees. The distinct sites, in fractional coordinates, are La at (0.000, 0.000, 0.000), Pm at (0.000, 0.000, 0.500) and Tl at (0.500, 0.500, 0.261).

The value obtained for the magnetization is 0.00 μB/f.u. The formation energy comes out at -409 meV per atom. The crystal system is tetragonal.

***

Entry 13:
A relaxed structure of LaPm5Tl8. Source: Alexandria, functional PBE.

The space group is I-4 (No. 82) and the conventional cell measures 9.464, 9.464 and 9.586 Å, with angles of 90.00, 90.00 and 90.00 degrees. The distinct sites, in fractional coordinates, are La at (0.000, 0.000, 0.000), Pm at (0.000, 0.500, 0.750), Pm at (0.129, 0.753, 0.372), Tl at (0.081, 0.661, 0.044) and Tl at (0.086, 0.832, 0.701).

The value obtained for the magnetization is 0.00 μB/f.u. The formation energy comes out at -306 meV per atom. The crystal system is tetragonal.

***

Entry 14:
A relaxed structure of LaPm6Tl. Source: Alexandria, functional PBE.

The space group is P4/mmm (No. 123) and the conventional cell measures 5.014, 5.014 and 10.454 Å, with angles of 90.00, 90.00 and 90.00 degrees. The distinct sites, in fractional coordinates, are La at (0.000, 0.000, 0.000), Pm at (0.000, 0.500, 0.259), Pm at (0.500, 0.500, 0.000), Pm at (0.500, 0.500, 0.500) and Tl at (0.000, 0.000, 0.500).

The value obtained for the magnetization is 0.00 μB/f.u. The formation energy comes out at -73 meV per atom. The crystal system is tetragonal.

***

Entry 15:
A relaxed structure of La6PmTl. Source: Alexandria, functional PBE.

The space group is P-1 (No. 2) and the conventional cell measures 6.619, 6.645 and 9.424 Å, with angles of 110.26, 90.13 and 119.82 degrees. The distinct sites, in fractional coordinates, are La at (0.049, 0.478, 0.285), La at (0.190, 0.148, 0.714), La at (0.439, 0.241, 0.283), Pm at (0.500, 0.000, 0.500) and Tl at (0.000, 0.000, 0.000).

Its energy relative to the lowest polymorph listed for this composition is 3.347 eV per formula unit. The value obtained for the magnetization is 0.00 μB/f.u. The formation energy comes out at 315 meV per atom. The crystal system is triclinic.

***

Entry 16:
A relaxed structure of La6PmTl. Source: Alexandria, functional PBE.

The space group is P4/mmm (No. 123) and the conventional cell measures 5.136, 5.136 and 10.433 Å, with angles of 90.00, 90.00 and 90.00 degrees. The distinct sites, in fractional coordinates, are La at (0.000, 0.000, 0.000), La at (0.000, 0.000, 0.500), La at (0.000, 0.500, 0.245), Pm at (0.500, 0.500, 0.500) and Tl at (0.500, 0.500, 0.000).

Its energy relative to the lowest polymorph listed for this composition is 0.000 eV per formula unit. The value obtained for the magnetization is 0.00 μB/f.u. The formation energy comes out at -103 meV per atom. The crystal system is tetragonal.

***

Entry 17:
A relaxed structure of La12Pm6Tl. Source: Alexandria, functional PBE.

The space group is R-3m (No. 166, hexagonal axes) and the conventional cell measures 13.5921, 13.5921 and 12.8352 Å, with angles of 90.00, 90.00 and 120.00 degrees. The distinct sites, in fractional coordinates, are La at (0.0000, 0.2600, 0.0000), La at (0.0581, 0.5291, 0.1102), Pm at (0.0894, 0.1788, 0.7735) and Tl at (0.0000, 0.0000, 0.0000).

The value obtained for the magnetization is 0.00 μB/f.u. The formation energy comes out at 73 meV per atom. The crystal system is trigonal.

***

Entry 18:
A relaxed structure of La3Pm5Tl2. Source: Alexandria, functional PBE.

The space group is Ibam (No. 72) and the conventional cell measures 13.403, 15.488 and 6.747 Å, with angles of 90.00, 90.00 and 90.00 degrees. The distinct sites, in fractional coordinates, are La at (0.000, 0.000, 0.250), La at (0.129, 0.238, 0.000), Pm at (0.000, 0.500, 0.250), Pm at (0.102, 0.337, 0.500), Pm at (0.245, 0.500, 0.250) and Tl at (0.135, 0.145, 0.500).

The value obtained for the magnetization is 0.00 μB/f.u. The formation energy comes out at 34 meV per atom. The crystal system is orthorhombic.

***

Entry 19:
A relaxed structure of LaPm3Tl. Source: Alexandria, functional PBE.

The space group is R-3m (No. 166, hexagonal axes) and the conventional cell measures 10.2214, 10.2214 and 6.4757 Å, with angles of 90.00, 90.00 and 120.00 degrees. The distinct sites, in fractional coordinates, are La at (0.0000, 0.0000, 0.0000), Pm at (0.0000, 0.5000, 0.0000) and Tl at (0.0000, 0.0000, 0.5000).

Its energy relative to the lowest polymorph listed for this composition is 1.810 eV per formula unit. The value obtained for the magnetization is 1.77 μB/f.u. The formation energy comes out at 328 meV per atom. The crystal system is trigonal.

***

Entry 20:
A relaxed structure of LaPm2Tl9. Source: Alexandria, functional PBE.

The space group is P4/mmm (No. 123) and the conventional cell measures 4.844, 4.844 and 14.518 Å, with angles of 90.00, 90.00 and 90.00 degrees. The distinct sites, in fractional coordinates, are La at (0.000, 0.000, 0.000), Pm at (0.000, 0.000, 0.336), Tl at (0.000, 0.500, 0.170), Tl at (0.000, 0.500, 0.500), Tl at (0.500, 0.500, 0.000) and Tl at (0.500, 0.500, 0.334).

The value obtained for the magnetization is 0.00 μB/f.u. The formation energy comes out at -326 meV per atom. The crystal system is tetragonal.

***

Entry 21:
A relaxed structure of LaPm5Tl. Source: Alexandria, functional PBE.

The space group is P4/mmm (No. 123) and the conventional cell measures 4.780, 4.780 and 10.838 Å, with angles of 90.00, 90.00 and 90.00 degrees. The distinct sites, in fractional coordinates, are La at (0.000, 0.000, 0.000), Pm at (0.000, 0.500, 0.264), Pm at (0.500, 0.500, 0.500) and Tl at (0.000, 0.000, 0.500).

The value obtained for the magnetization is 0.00 μB/f.u. The formation energy comes out at 143 meV per atom. The crystal system is tetragonal.

***

Entry 22:
A relaxed structure of LaPm2Tl. Source: Alexandria, functional PBE.

The space group is Fm-3m (No. 225) and the conventional cell measures 7.919, 7.919 and 7.919 Å, with angles of 90.00, 90.00 and 90.00 degrees. The distinct sites, in fractional coordinates, are La at (0.000, 0.000, 0.000), Pm at (0.250, 0.250, 0.250) and Tl at (0.000, 0.000, 0.500).

Its energy relative to the lowest polymorph listed for this composition is 0.647 eV per formula unit. The value obtained for the magnetization is 0.79 μB/f.u. The formation energy comes out at -50 meV per atom. The crystal system is cubic.